Entry i
Crystalline Nb4Mo2W3 at its relaxed geometry, computed with GGA-PBE.

extended XYZ file:
```
9
Lattice="4.559 0.000 0.001 2.279 3.946 0.144 -0.001 -0.307 8.446" Properties=species:S:1:pos:R:3 pbc="T T T"
Nb 4.557 2.358 7.609
Nb 6.838 3.845 2.937
Nb -0.001 -0.205 5.654
Nb 2.279 1.282 0.982
Mo 4.558 2.561 2.010
Mo 2.278 1.078 6.581
W 4.558 2.463 4.731
W 0.000 0.000 0.000
W 2.279 1.177 3.860
```

## Properties
magnetic moment = 0.00 μB per formula unit

***

Entry ii
Crystalline Nb4Mo2W3 at its relaxed geometry, computed with GGA-PBE.

extended XYZ file:
```
18
Lattice="-1.724 -2.638 -3.586 6.015 -2.347 -6.842 3.171 -8.828 -0.706" Properties=species:S:1:pos:R:3 pbc="T T T"
W 1.501 -1.678 -2.876
W 7.538 -9.186 -8.008
W 4.484 -5.513 -5.366
W 2.977 -8.301 -5.768
W 5.961 -12.135 -8.258
W -0.077 -4.628 -3.126
Mo 5.067 -7.862 -4.210
Mo 2.395 -5.952 -6.923
Mo 4.899 -7.599 -7.502
Mo 2.562 -6.215 -3.632
Nb 5.517 -9.966 -6.262
Nb 2.504 -11.034 -5.162
Nb 4.958 -2.780 -5.971
Nb 2.127 -4.077 -1.613
Nb 1.944 -3.848 -4.872
Nb 5.487 -4.881 -7.946
Nb 1.975 -8.933 -3.188
Nb 5.335 -9.737 -9.521
```

## Properties
magnetic moment = 0.00 μB per formula unit

***

Stability summary: most stable entry i, least stable entry ii.

***

Entry i
Crystalline Nb5Mo4W at its relaxed geometry, computed with GGA-PBE.

extended XYZ file:
```
10
Lattice="5.252 0.000 0.000 2.626 5.890 0.000 2.626 0.000 5.890" Properties=species:S:1:pos:R:3 pbc="T T T"
Nb 5.018 5.495 3.625
Nb 2.392 3.625 0.395
Nb 3.494 0.000 0.000
Nb 7.644 2.265 5.495
Nb 5.018 0.395 2.265
W 1.107 0.000 0.000
Mo 7.631 4.008 3.700
Mo 5.005 3.700 1.882
Mo 2.379 1.882 2.189
Mo 5.005 2.189 4.008
```

## Properties
magnetic moment = 0.00 μB per formula unit

***

Entry ii
Crystalline Nb5Mo4W at its relaxed geometry, computed with GGA-PBE.

extended XYZ file:
```
10
Lattice="-0.431 -3.100 -0.813 2.896 -0.728 1.243 -6.870 -2.810 14.359" Properties=species:S:1:pos:R:3 pbc="T T T"
Mo -5.493 -2.247 11.482
Mo -4.122 -1.686 8.615
Mo -1.377 -0.563 2.877
Mo -2.748 -1.124 5.745
Nb -2.203 -3.319 7.395
Nb -0.832 -2.759 4.529
Nb -3.574 -3.880 10.261
Nb 0.541 -2.197 1.660
Nb -4.946 -4.442 13.129
W 0.000 0.000 0.000
```

## Properties
magnetic moment = 0.00 μB per formula unit

***

Stability summary: most stable entry ii, least stable entry i.

***

Entry i
Crystalline NbMoW6 at its relaxed geometry, computed with GGA-PBE.

extended XYZ file:
```
8
Lattice="4.523 0.000 0.000 0.000 5.222 -1.827 0.000 0.003 5.532" Properties=species:S:1:pos:R:3 pbc="T T T"
Mo 2.262 0.656 4.612
W 2.262 3.266 3.699
W 0.000 4.582 1.867
W 0.000 1.948 -0.001
W 0.000 1.961 2.771
W 2.262 0.654 1.846
W 0.000 4.568 -0.905
Nb 2.262 3.265 0.933
```

## Properties
magnetic moment = 0.00 μB per formula unit

***

Entry ii
Crystalline NbMoW6 at its relaxed geometry, computed with GGA-PBE.

extended XYZ file:
```
8
Lattice="5.304 0.402 0.455 -0.180 5.316 0.455 -0.180 -0.200 5.332" Properties=species:S:1:pos:R:3 pbc="T T T"
Nb 0.000 0.000 0.000
W 0.735 0.820 2.986
W 2.179 4.475 5.061
W 4.210 4.698 3.256
W 2.765 1.043 1.180
W 4.210 2.655 5.061
W 0.735 2.863 1.180
Mo 2.472 2.759 3.121
```

## Properties
magnetic moment = 0.00 μB per formula unit

***

Stability summary: most stable entry i, least stable entry ii.

***

Entry i
Crystalline NbMoW at its relaxed geometry, computed with GGA-PBE.

extended XYZ file:
```
6
Lattice="-3.105 2.897 1.609 -4.938 -1.972 0.426 -1.761 -1.058 4.917" Properties=species:S:1:pos:R:3 pbc="T T T"
W -6.771 0.487 5.284
W -3.033 -0.620 1.668
Nb -3.437 1.979 2.621
Nb -6.367 -2.112 4.331
Mo -5.684 -0.276 2.344
Mo -4.120 0.144 4.607
```

## Properties
magnetic moment = 0.00 μB per formula unit

***

Entry ii
Crystalline NbMoW at its relaxed geometry, computed with GGA-PBE.

extended XYZ file:
```
6
Lattice="-1.237 0.358 -4.062 2.380 -1.680 -3.108 -4.836 -8.227 0.731" Properties=species:S:1:pos:R:3 pbc="T T T"
Nb -3.865 -6.431 -3.872
Nb 0.173 -3.117 -2.567
Mo -1.827 -1.878 -1.848
Mo -1.866 -7.670 -4.590
W -3.036 -3.934 -1.665
W -0.619 0.179 -2.031
```

## Properties
magnetic moment = 0.00 μB per formula unit

***

Entry iii
Crystalline NbMoW at its relaxed geometry, computed with GGA-PBE.

extended XYZ file:
```
3
Lattice="2.796 0.000 0.000 0.000 4.536 0.000 0.000 -2.268 3.929" Properties=species:S:1:pos:R:3 pbc="T T T"
W 1.883 0.000 2.619
Mo 2.792 0.000 0.000
Nb 0.916 2.268 1.310
```

## Properties
magnetic moment = 0.00 μB per formula unit

***

Stability summary: most stable entry i, least stable entry ii.

***

Entry i
Crystalline NbMoW at its relaxed geometry, computed with GGA-PBE.

extended XYZ file:
```
3
Lattice="-0.655 -2.799 -1.433 -0.282 -1.405 2.874 -4.247 3.174 -0.659" Properties=species:S:1:pos:R:3 pbc="T T T"
Mo -2.009 -1.752 0.741
Nb -3.137 0.713 0.041
W -0.038 0.009 0.000
```

## Properties
magnetic moment = 0.00 μB per formula unit

***

Entry ii
Crystalline NbMoW at its relaxed geometry, computed with GGA-PBE.

extended XYZ file:
```
6
Lattice="2.612 0.239 -0.944 -1.051 2.531 0.519 -1.603 1.386 15.197" Properties=species:S:1:pos:R:3 pbc="T T T"
Nb 0.244 0.408 3.545
Nb -0.287 3.748 11.226
Mo -0.281 2.250 13.597
Mo 0.239 1.905 1.175
W 0.749 2.715 8.317
W -0.792 1.440 6.455
```

## Properties
magnetic moment = 0.00 μB per formula unit

***

Stability summary: most stable entry i, least stable entry ii.

***

Entry i
Crystalline NbMo6W at its relaxed geometry, computed with GGA-PBE.

extended XYZ file:
```
8
Lattice="-4.233 0.818 3.617 -2.004 -1.170 -5.126 3.332 -4.163 1.796" Properties=species:S:1:pos:R:3 pbc="T T T"
W -1.452 -2.258 0.143
Mo -1.717 -1.708 -2.464
Mo -1.187 -2.808 2.750
Mo -2.820 -0.724 1.860
Mo 0.922 -3.188 0.960
Mo -0.085 -3.792 -1.574
Mo -3.827 -1.328 -0.674
Nb 0.000 0.000 0.000
```

## Properties
magnetic moment = 0.00 μB per formula unit

***

Entry ii
Crystalline NbMo6W at its relaxed geometry, computed with GGA-PBE.

extended XYZ file:
```
8
Lattice="-3.766 -0.849 2.324 1.221 -0.833 4.257 -1.300 6.810 3.297" Properties=species:S:1:pos:R:3 pbc="T T T"
Mo -2.135 5.626 5.462
Mo -2.318 1.488 2.449
Mo -1.710 -0.497 4.415
Mo -1.527 3.641 7.428
Mo 0.054 1.496 3.369
Mo -3.899 3.633 6.509
Nb -1.923 2.565 4.939
W 0.000 0.000 0.000
```

## Properties
magnetic moment = 0.00 μB per formula unit

***

Stability summary: most stable entry i, least stable entry ii.

***

Entry i
Crystalline Nb2Mo2W7 at its relaxed geometry, computed with GGA-PBE.

extended XYZ file:
```
11
Lattice="-7.313 2.070 1.732 -0.580 -4.353 2.835 1.773 4.219 2.525" Properties=species:S:1:pos:R:3 pbc="T T T"
W -2.205 0.658 1.455
W -3.914 1.278 5.636
W -4.748 3.783 4.965
W -0.198 2.426 1.972
W -5.921 -0.490 5.119
W 0.000 0.000 0.000
W -1.371 -1.847 2.126
Nb -3.643 -1.157 3.622
Nb -2.476 3.093 3.469
Mo -1.566 0.578 4.111
Mo -4.553 1.358 2.981
```

## Properties
magnetic moment = 0.00 μB per formula unit

***

Entry ii
Crystalline Nb2Mo2W7 at its relaxed geometry, computed with GGA-PBE.

extended XYZ file:
```
11
Lattice="5.049 0.128 1.238 1.722 6.107 0.229 0.384 -0.180 6.335" Properties=species:S:1:pos:R:3 pbc="T T T"
W 2.088 3.505 4.066
W 5.949 5.617 3.924
W 0.000 0.000 0.000
W 1.864 3.527 0.878
W 1.207 0.439 3.878
W 5.068 2.550 3.736
W 5.292 2.528 6.925
Mo 3.050 1.639 2.356
Mo 4.106 4.417 5.447
Nb 3.201 1.258 5.620
Nb 3.955 4.798 2.182
```

## Properties
magnetic moment = 0.00 μB per formula unit

***

Stability summary: most stable entry i, least stable entry ii.

***

Entry i
Crystalline NbMo2W5 at its relaxed geometry, computed with GGA-PBE.

extended XYZ file:
```
16
Lattice="4.510 0.000 0.000 0.000 5.453 0.000 0.000 0.000 10.702" Properties=species:S:1:pos:R:3 pbc="T T T"
Mo 2.255 3.625 6.638
Mo 2.255 4.554 1.287
Mo 2.255 1.828 4.064
Mo 2.255 0.899 9.415
Nb 0.000 2.726 0.000
Nb 0.000 0.000 5.351
W 0.000 0.000 0.000
W 0.000 2.726 5.351
W 0.000 3.616 2.690
W 2.255 0.909 6.669
W 0.000 0.890 2.661
W 0.000 4.563 8.041
W 2.255 4.543 4.034
W 2.255 1.817 1.318
W 0.000 1.837 8.012
W 2.255 3.636 9.385
```

## Properties
magnetic moment = 0.00 μB per formula unit

***

Entry ii
Crystalline NbMo2W5 at its relaxed geometry, computed with GGA-PBE.

extended XYZ file:
```
8
Lattice="-2.435 -5.752 -1.313 -1.008 -0.994 6.223 -1.193 4.667 -2.720" Properties=species:S:1:pos:R:3 pbc="T T T"
Mo -1.799 0.078 2.994
Mo -2.512 -2.301 -0.774
W -3.016 -2.798 2.337
W -3.109 0.033 -2.135
W -2.395 2.411 1.634
W -1.891 2.908 -1.478
W -3.612 -0.464 0.977
Nb -1.295 0.575 -0.118
```

## Properties
magnetic moment = 0.00 μB per formula unit

***

Stability summary: most stable entry ii, least stable entry i.

***

Entry i
Crystalline Nb3Mo4W at its relaxed geometry, computed with GGA-PBE.

extended XYZ file:
```
16
Lattice="-3.489 3.575 -2.281 -4.041 -2.007 3.034 1.913 6.046 6.548" Properties=species:S:1:pos:R:3 pbc="T T T"
Mo -2.164 0.616 0.063
Mo -4.163 -0.404 1.589
Mo -0.416 3.956 6.040
Mo -2.919 5.324 5.402
Mo -2.854 5.449 2.148
Mo -3.860 2.352 2.182
Mo -1.389 0.882 2.711
Mo -4.888 4.465 3.650
Nb -1.867 3.345 0.611
Nb -0.904 6.386 3.904
Nb -2.473 2.937 7.509
Nb -5.798 1.408 0.394
Nb -1.179 3.597 3.369
Nb -3.424 -0.068 4.255
W -3.840 2.456 -1.146
W -3.237 2.650 4.844
```

## Properties
magnetic moment = 0.00 μB per formula unit

***

Entry ii
Crystalline Nb3Mo4W at its relaxed geometry, computed with GGA-PBE.

extended XYZ file:
```
8
Lattice="3.215 0.000 0.000 0.000 3.215 0.000 0.000 0.000 12.894" Properties=species:S:1:pos:R:3 pbc="T T T"
Mo 0.000 0.000 11.333
Mo 0.000 0.000 1.561
Mo 0.000 0.000 8.078
Mo 0.000 0.000 4.816
Nb 1.607 1.607 9.689
Nb 1.607 1.607 6.447
Nb 1.607 1.607 3.205
W 1.607 1.607 0.000
```

## Properties
magnetic moment = 0.00 μB per formula unit

***

Stability summary: most stable entry ii, least stable entry i.

***

Entry i
Crystalline Nb3MoW4 at its relaxed geometry, computed with GGA-PBE.

extended XYZ file:
```
8
Lattice="-0.107 2.057 -2.480 -3.014 0.813 0.804 4.564 9.403 7.600" Properties=species:S:1:pos:R:3 pbc="T T T"
W 2.860 5.893 4.763
W 1.704 3.510 2.837
W 4.013 8.268 6.683
W 0.551 1.135 0.917
Mo -1.560 1.435 -0.838
Nb -0.428 3.768 1.048
Nb 1.871 8.504 4.876
Nb 0.721 6.136 2.962
```

## Properties
magnetic moment = 0.00 μB per formula unit

***

Entry ii
Crystalline Nb3MoW4 at its relaxed geometry, computed with GGA-PBE.

extended XYZ file:
```
16
Lattice="-4.435 -0.276 -3.214 3.213 -8.620 -3.694 -2.574 -2.576 3.773" Properties=species:S:1:pos:R:3 pbc="T T T"
W -1.098 -4.946 1.331
W -2.521 -9.072 -4.270
W -1.051 -6.418 -3.286
W -4.084 -2.506 -0.853
W -2.344 -7.712 -1.391
W 0.183 -3.664 -0.547
W 1.873 -7.660 -3.952
W -1.419 -1.201 -1.788
Nb -0.362 -7.812 -5.582
Nb -3.232 -5.319 -0.373
Nb 1.076 -6.050 -1.577
Nb -0.212 -7.339 0.312
Nb -1.894 -2.356 0.743
Nb -1.947 -4.032 -2.257
Mo -0.274 -8.932 -2.642
Mo -3.607 -1.338 -3.374
```

## Properties
magnetic moment = 0.00 μB per formula unit

***

Stability summary: most stable entry i, least stable entry ii.

***

Entry i
Crystalline Nb6MoW at its relaxed geometry, computed with GGA-PBE.

extended XYZ file:
```
8
Lattice="-1.507 -5.613 -0.187 4.483 1.037 -3.556 1.291 1.593 5.442" Properties=species:S:1:pos:R:3 pbc="T T T"
Nb 0.960 -2.756 3.051
Nb 3.307 -0.227 -1.353
Nb 1.711 0.051 3.144
Nb 2.556 -3.034 -1.446
Nb 0.313 -3.551 0.331
Nb 3.954 0.568 1.368
Mo 2.133 -1.492 0.849
W 0.000 0.000 0.000
```

## Properties
magnetic moment = 0.00 μB per formula unit

***

Entry ii
Crystalline Nb6MoW at its relaxed geometry, computed with GGA-PBE.

extended XYZ file:
```
8
Lattice="-3.083 -0.807 -3.383 -0.069 -5.485 1.371 -3.977 2.693 2.983" Properties=species:S:1:pos:R:3 pbc="T T T"
Nb -4.109 -3.533 1.396
Nb -2.043 -2.108 -0.827
Nb -1.533 -2.420 1.975
Nb -1.516 0.313 1.307
Nb -2.107 -4.850 -0.116
Nb -3.507 -1.060 3.449
Mo -3.486 1.667 2.780
W -4.049 -0.786 0.685
```

## Properties
magnetic moment = 0.00 μB per formula unit

***

Stability summary: most stable entry ii, least stable entry i.